# 1
Below is a relaxed Mn2TeMo crystal, with properties calculated at the PBE level.

Computed properties:
DOS(E_F) in states/eV per atom: 0.993
Calculated density in g/cm³: 8.25
Calculated volume in Å³ per cell: 67.1
Total DFT energy (no corrections) in eV per atom: -7.582

Geometry as extended XYZ:
```
4
Lattice="8.003 -0.033 -0.019 7.394 3.061 -0.019 7.394 1.454 2.694" Properties=species:S:1:pos:R:3 pbc="T T T"
Mn 22.603 4.446 2.633
Mn 11.583 2.278 1.349
Mo 5.698 1.121 0.664
Te 17.093 3.362 1.991
```

***

# 2
Below is a relaxed La2Pm6NdSm3 crystal, with properties calculated at the PBE level.

Computed properties:
DOS(E_F) in states/eV per atom: 1.651
E_form in meV per atom: 16
Calculated density in g/cm³: 6.91
Calculated volume in Å³ per cell: 418.7

Geometry as extended XYZ:
```
12
Lattice="6.357 -0.002 0.003 -3.179 5.505 0.003 -1.074 -1.860 11.965" Properties=species:S:1:pos:R:3 pbc="T T T"
La 0.000 3.669 0.003
La 3.177 1.834 0.003
Pm 3.165 1.816 8.943
Pm 2.117 3.666 3.030
Pm -1.061 1.827 3.028
Pm -0.009 3.649 8.943
Pm -0.013 -0.023 8.940
Pm 2.113 -0.006 3.028
Nd 0.000 0.000 0.000
Sm -2.129 3.658 5.985
Sm 4.233 -0.016 5.985
Sm 1.052 1.821 5.985
```

***

# 3
Below is a relaxed Dy2AlZn3Pt4 crystal, with properties calculated at the PBE level.

Computed properties:
DOS(E_F) in states/eV per atom: 0.543
E_form in meV per atom: -837
Calculated density in g/cm³: 11.92
Calculated volume in Å³ per cell: 185.0

Geometry as extended XYZ:
```
10
Lattice="4.155 0.000 0.000 0.000 4.155 0.000 0.000 0.000 10.716" Properties=species:S:1:pos:R:3 pbc="T T T"
Dy 2.078 0.000 2.557
Dy 0.000 2.078 8.159
Al 2.078 2.078 5.358
Zn 0.000 0.000 5.358
Zn 2.078 0.000 9.268
Zn 0.000 2.078 1.448
Pt 2.078 2.078 0.000
Pt 0.000 0.000 0.000
Pt 2.078 0.000 6.815
Pt 0.000 2.078 3.901
```

***

# 4
Below is a relaxed Ca2MgPdO crystal, with properties calculated at the PBE level.

Computed properties:
DOS(E_F) in states/eV per atom: 0.478
Calculated density in g/cm³: 3.89
Calculated volume in Å³ per cell: 96.9
Total DFT energy (no corrections) in eV per atom: -4.463

Geometry as extended XYZ:
```
5
Lattice="-3.112 -3.618 0.438 3.013 -2.878 -2.368 1.805 -1.111 3.647" Properties=species:S:1:pos:R:3 pbc="T T T"
O 0.000 0.000 0.000
Ca 1.506 -1.439 -1.184
Ca -1.556 -1.809 0.219
Mg 0.903 -0.556 1.824
Pd 0.853 -3.803 0.859
```

***

# 5
Below is a relaxed SmErZrAl crystal, with properties calculated at the PBE level.

Computed properties:
DOS(E_F) in states/eV per atom: 1.692
E_form in meV per atom: -12
Calculated density in g/cm³: 7.33
Calculated volume in Å³ per cell: 98.7

Geometry as extended XYZ:
```
4
Lattice="-0.681 5.029 1.075 -4.666 2.178 -0.630 -2.784 1.413 4.143" Properties=species:S:1:pos:R:3 pbc="T T T"
Al -4.066 4.310 2.294
Zr -2.033 2.155 1.147
Sm -6.098 6.465 3.441
Er 0.000 0.000 0.000
```

***

# 6
Below is a relaxed BiIN3 crystal, with properties calculated at the PBE level.

Computed properties:
DOS(E_F) in states/eV per atom: 0.604
Calculated density in g/cm³: 7.73
Calculated volume in Å³ per cell: 81.1
Total DFT energy (no corrections) in eV per atom: -3.852

Geometry as extended XYZ:
```
5
Lattice="4.329 0.000 0.000 0.000 4.329 0.000 0.000 0.000 4.329" Properties=species:S:1:pos:R:3 pbc="T T T"
I 2.165 2.165 2.165
Bi 0.000 0.000 0.000
N 0.000 2.165 0.000
N 0.000 0.000 2.165
N 2.165 0.000 0.000
```

***

# 7
Below is a relaxed NpSn2Pb crystal, with properties calculated at the PBE level.

Computed properties:
DOS(E_F) in states/eV per atom: 2.229
E_form in meV per atom: 89
Calculated density in g/cm³: 10.41
Excess energy over the best structure of this formula in the dataset in meV per atom: 13.5
Calculated volume in Å³ per cell: 108.7

Geometry as extended XYZ:
```
4
Lattice="4.079 0.000 0.000 0.000 4.079 0.000 0.000 0.000 6.534" Properties=species:S:1:pos:R:3 pbc="T T T"
Np 2.039 2.039 0.000
Pb 2.039 2.039 3.267
Sn 0.000 0.000 4.915
Sn 0.000 0.000 1.619
```

***

# 8
Below is a relaxed TiIn2Re crystal, with properties calculated at the PBE level.

Computed properties:
DOS(E_F) in states/eV per atom: 0.575
E_form in meV per atom: 307
Calculated density in g/cm³: 10.70
Excess energy over the best structure of this formula in the dataset in meV per atom: 0.0
Calculated volume in Å³ per cell: 72.0

Geometry as extended XYZ:
```
4
Lattice="0.000 3.301 3.301 3.301 0.000 3.301 3.301 3.301 0.000" Properties=species:S:1:pos:R:3 pbc="T T T"
Re 3.301 3.301 3.301
Ti 0.000 0.000 0.000
In 1.651 1.651 1.651
In 4.952 4.952 4.952
```

***

# 9
Below is a relaxed Sr6Ag5Au crystal, with properties calculated at the PBE level.

Computed properties:
DOS(E_F) in states/eV per atom: 0.802
E_form in meV per atom: -345
Calculated density in g/cm³: 5.83
Calculated volume in Å³ per cell: 359.7

Geometry as extended XYZ:
```
12
Lattice="0.395 -4.855 -2.615 -3.344 -3.594 6.168 -7.652 3.668 -2.012" Properties=species:S:1:pos:R:3 pbc="T T T"
Sr -7.326 -4.297 1.103
Sr -5.638 -2.484 -2.008
Sr -0.620 -3.306 0.200
Sr -2.330 -5.143 3.353
Sr -4.963 -2.297 3.550
Sr -3.276 -0.484 0.438
Au 0.000 0.000 0.000
Ag -3.964 -3.812 0.668
Ag -8.244 -2.778 3.987
Ag -1.672 -1.797 3.084
Ag -2.358 -2.003 -2.446
Ag -6.638 -0.969 0.874
```

***

# 10
Below is a relaxed Rb8H6S crystal, with properties calculated at the PBE level.

Computed properties:
DOS(E_F) in states/eV per atom: 0.000
Calculated density in g/cm³: 2.55
Calculated volume in Å³ per cell: 469.7
Total DFT energy (no corrections) in eV per atom: -2.414

Geometry as extended XYZ:
```
15
Lattice="-6.831 -3.724 1.677 1.249 -2.320 -7.510 5.251 -4.509 3.929" Properties=species:S:1:pos:R:3 pbc="T T T"
Rb -0.229 -7.298 -1.317
Rb -0.102 -3.255 -0.587
Rb -2.802 -5.082 -4.173
Rb -1.643 -6.374 2.786
Rb 3.905 -5.736 -1.715
Rb 2.470 -5.471 2.269
Rb 1.311 -4.179 -4.690
Rb -4.236 -4.817 -0.189
H 0.562 -7.552 1.368
H 1.712 -6.751 -3.273
H -2.939 -6.850 -1.911
H -0.894 -3.001 -3.272
H -2.044 -3.802 1.369
H 2.608 -3.702 0.007
S 0.000 0.000 0.000
```